Record 1
Al4V5Fe2: relaxed, PBE.

## Properties
- Space group: P2/m
- Spin magnetization: 3.94 μB/cell
- Energy of formation: -128 meV/atom

a b c (Å): 6.5954 2.5956 8.7573
angles (deg): 90.00 93.75 90.00
Last column: nearest neighbours and their distance in Å.
Sites, in units of the cell vectors:
Al1 0.1570 0.0000 0.3951  3 Al 2.60-2.86, 2 Fe 2.65, 8 V 2.72-2.79
Al2 0.2857 0.0000 0.9486  2 Al 2.60, 4 Fe 2.64-2.68, 6 V 2.74-2.76
Al3 0.7143 0.0000 0.0514  2 Al 2.60, 4 Fe 2.64-2.68, 6 V 2.74-2.76
Al4 0.8430 0.0000 0.6049  3 Al 2.60-2.86, 2 Fe 2.65, 8 V 2.72-2.79
V1 0.2059 0.5000 0.6754  1 Fe 2.47, 4 V 2.55-2.60, 4 Al 2.74-2.76
V2 0.4269 0.5000 0.2129  1 Fe 2.48, 4 V 2.53-2.60, 4 Al 2.76
V3 0.5000 0.5000 0.5000  6 V 2.53-2.60, 4 Al 2.72
V4 0.5731 0.5000 0.7871  1 Fe 2.48, 4 V 2.53-2.60, 4 Al 2.76
V5 0.7941 0.5000 0.3246  1 Fe 2.47, 4 V 2.55-2.60, 4 Al 2.74-2.76
Fe1 0.0583 0.5000 0.1372  2 V 2.47-2.48, 3 Fe 2.47-2.60, 6 Al 2.64-2.68
Fe2 0.9417 0.5000 0.8628  2 V 2.47-2.48, 3 Fe 2.47-2.60, 6 Al 2.64-2.68

=====

Record 2
AlV4Fe5: relaxed, PBE.

## Properties
- Space group: P4/mmm
- Spin magnetization: 2.45 μB/cell
- Energy of formation: -229 meV/atom

a b c (Å): 2.8583 2.8583 14.4558
angles (deg): 90.00 90.00 90.00
Last column: nearest neighbours and their distance in Å.
Sites, in units of the cell vectors:
Al1 0.0000 0.0000 0.0000  8 Fe 2.51
V1 0.0000 0.0000 0.1973  8 Fe 2.43-2.49
V2 0.0000 0.0000 0.3992  8 Fe 2.49-2.50
V3 0.0000 0.0000 0.6008  8 Fe 2.49-2.50
V4 0.0000 0.0000 0.8027  8 Fe 2.43-2.49
Fe1 0.5000 0.5000 0.1035  4 V 2.43, 4 Al 2.51
Fe2 0.5000 0.5000 0.2980  8 V 2.49-2.50
Fe3 0.5000 0.5000 0.5000  8 V 2.49
Fe4 0.5000 0.5000 0.7020  8 V 2.49-2.50
Fe5 0.5000 0.5000 0.8965  4 V 2.43, 4 Al 2.51

=====

Record 3
AlV4Fe: relaxed, PBE.

## Properties
- Space group: P4/mmm
- Spin magnetization: 1.06 μB/cell
- Energy of formation: -85 meV/atom

a b c (Å): 3.0178 3.0178 8.7685
angles (deg): 90.00 90.00 90.00
Last column: nearest neighbours and their distance in Å.
Sites, in units of the cell vectors:
Al1 0.0000 0.0000 0.0000  10 V 2.66-2.96
V1 0.0000 0.0000 0.3371  4 V 2.53, 4 Fe 2.57
V2 0.0000 0.0000 0.6629  4 V 2.53, 4 Fe 2.57
V3 0.5000 0.5000 0.1816  4 V 2.53, 4 Al 2.66, 1 Fe 2.79
V4 0.5000 0.5000 0.8184  4 V 2.53, 4 Al 2.66, 1 Fe 2.79
Fe1 0.5000 0.5000 0.5000  10 V 2.57-2.79

=====

Record 4
AlV2Fe: relaxed, PBE.

## Properties
- Space group: I4/mmm
- Spin magnetization: 0.00 μB/cell
- Energy of formation: -246 meV/atom

a b c (Å): 6.8474 6.8474 6.8474
angles (deg): 145.67 145.67 49.33
Last column: nearest neighbours and their distance in Å.
Sites, in units of the cell vectors:
Al1 0.1395 0.1395 0.0000  4 Fe 2.44, 4 V 2.66
Al2 0.8605 0.8605 0.0000  4 Fe 2.44, 4 V 2.66
V1 0.0000 0.5000 0.5000  8 V 2.60-2.86, 4 Al 2.66
V2 0.3685 0.3685 0.0000  4 Fe 2.50, 4 V 2.60
V3 0.5000 0.0000 0.5000  8 V 2.60-2.86, 4 Al 2.66
V4 0.6315 0.6315 0.0000  4 Fe 2.50, 4 V 2.60
Fe1 0.2500 0.7500 0.5000  4 Al 2.44, 4 V 2.50
Fe2 0.7500 0.2500 0.5000  4 Al 2.44, 4 V 2.50

=====

Record 5
Al2VFe2: relaxed, PBE.

## Properties
- Space group: P4/mbm
- Spin magnetization: 6.82 μB/cell
- Energy of formation: -68 meV/atom

a b c (Å): 6.9641 6.9641 2.6703
angles (deg): 90.00 90.00 90.00
Last column: nearest neighbours and their distance in Å.
Sites, in units of the cell vectors:
Al1 0.1356 0.3644 0.0000  6 Fe 2.40-2.47, 3 Al 2.67
Al2 0.3644 0.8644 0.0000  6 Fe 2.40-2.47, 3 Al 2.67
Al3 0.6356 0.1356 0.0000  6 Fe 2.40-2.47, 3 Al 2.67
Al4 0.8644 0.6356 0.0000  6 Fe 2.40-2.47, 3 Al 2.67
V1 0.0000 0.0000 0.0000  2 V 2.67, 4 Al 2.71, 8 Fe 2.93
V2 0.5000 0.5000 0.0000  2 V 2.67, 4 Al 2.71, 8 Fe 2.93
Fe1 0.1613 0.6613 0.5000  6 Al 2.40-2.47, 2 Fe 2.67
Fe2 0.3387 0.1613 0.5000  6 Al 2.40-2.47, 2 Fe 2.67
Fe3 0.6613 0.8387 0.5000  6 Al 2.40-2.47, 2 Fe 2.67
Fe4 0.8387 0.3387 0.5000  6 Al 2.40-2.47, 2 Fe 2.67

=====

Record 6
AlV6Fe2: relaxed, PBE.

## Properties
- Space group: P4/mmm
- Spin magnetization: 0.00 μB/cell
- Energy of formation: 104 meV/atom

a b c (Å): 3.9706 3.9706 7.9184
angles (deg): 90.00 90.00 90.00
Last column: nearest neighbours and their distance in Å.
Sites, in units of the cell vectors:
Al1 0.0000 0.0000 0.0000  8 V 3.00, 8 Fe 3.00
V1 0.0000 0.0000 0.5000  12 V 2.62-2.81
V2 0.0000 0.5000 0.2843  2 Fe 2.31
V3 0.0000 0.5000 0.7157  2 Fe 2.31
V4 0.5000 0.0000 0.2843  2 Fe 2.31
V5 0.5000 0.0000 0.7157  2 Fe 2.31
V6 0.5000 0.5000 0.5000  12 V 2.62-2.81, 2 Fe 2.89
Fe1 0.5000 0.5000 0.1351  1 Fe 2.14, 4 V 2.31
Fe2 0.5000 0.5000 0.8649  1 Fe 2.14, 4 V 2.31

=====

Number 1: electronic total energy -7.172 eV per atom. Number 2: electronic total energy -8.482 eV per atom. Number 3: electronic total energy -8.198 eV per atom. Number 4: electronic total energy -7.857 eV per atom. Number 5: electronic total energy -6.774 eV per atom. Number 6: electronic total energy -8.271 eV per atom.